[1]
A plane-wave DFT calculation with PBE was carried out for a relaxed La7Dy2Th2 crystal.

POSCAR file:
```
La7Dy2Th2
1.0
5.917 1.166 1.683
0.260 8.017 1.329
0.260 -1.571 7.973
Dy La Th
2 7 2
direct
0.500 0.224 0.776
0.500 0.776 0.224
0.832 0.422 0.931
0.586 0.762 0.762
0.168 0.578 0.069
0.000 0.000 0.000
0.832 0.931 0.422
0.414 0.238 0.238
0.168 0.069 0.578
0.801 0.419 0.419
0.199 0.581 0.581
```

Summary:
- electronic total energy (eV per atom) = -5.17
- space group = C2/m, No. 12
- crystal system = monoclinic
- excess energy over the best structure of this formula in the dataset (eV/f.u.) = 0.61
- E_form (eV/atom) = 0.156

[2]
A plane-wave DFT calculation with PBE was carried out for a relaxed Ac2AgSb4Au3 crystal.

POSCAR file:
```
Ac2AgSb4Au3
1.0
4.907 0.000 0.000
0.000 4.907 0.000
0.000 0.000 11.083
Sb Au Ag Ac
4 3 1 2
direct
0.500 0.000 0.629
0.000 0.500 0.371
0.500 0.500 0.000
0.000 0.000 0.000
0.500 0.000 0.869
0.000 0.500 0.131
0.000 0.000 0.500
0.500 0.500 0.500
0.000 0.500 0.745
0.500 0.000 0.255
```

Summary:
- electronic total energy (eV per atom) = -4.28
- space group = P-4m2, No. 115
- crystal system = tetragonal
- ΔE_f (raw) (eV per atom) = -0.5401